{"formula": "PrCdGa2Au5", "functional": "PBE", "state": "relaxed", "e_tot_ev_per_cell": -30.99, "magnetic_moment_mub_per_fu": 0.00, "formation_energy_mev_per_atom": -317, "n_ef_per_ev_cell": 3.77, "lattice_angstrom": [[4.971, 0.000, 0.000], [0.000, 4.971, 0.000], [0.000, 0.000, 7.754]], "species": ["Pr", "Cd", "Ga", "Ga", "Au", "Au", "Au", "Au", "Au"], "fractional_positions": [[0.000, 0.000, 0.000], [0.000, 0.000, 0.500], [0.500, 0.500, 0.341], [0.500, 0.500, 0.659], [0.000, 0.500, 0.246], [0.000, 0.500, 0.754], [0.500, 0.000, 0.246], [0.500, 0.000, 0.754], [0.500, 0.500, 0.000]]}

{"formula": "Ba6Ga2O", "functional": "PBE", "state": "relaxed", "e_tot_ev_per_cell": -57.66, "magnetic_moment_mub_per_fu": 1.03, "n_ef_per_ev_cell": 18.18, "lattice_angstrom": [[7.759, 0.000, 0.000], [0.000, 8.232, 0.000], [-7.699, 0.000, 11.235]], "species": ["Ba", "Ba", "Ba", "Ba", "Ba", "Ba", "Ba", "Ba", "Ba", "Ba", "Ba", "Ba", "Ga", "Ga", "Ga", "Ga", "O", "O"], "fractional_positions": [[0.130, 0.024, 0.236], [0.130, 0.476, 0.736], [0.234, 0.710, 0.053], [0.234, 0.790, 0.553], [0.347, 0.184, 0.055], [0.347, 0.316, 0.555], [0.653, 0.684, 0.445], [0.653, 0.816, 0.945], [0.766, 0.210, 0.447], [0.766, 0.290, 0.947], [0.870, 0.524, 0.264], [0.870, 0.976, 0.764], [0.277, 0.076, 0.748], [0.277, 0.424, 0.248], [0.723, 0.576, 0.752], [0.723, 0.924, 0.252], [0.000, 0.000, 0.000], [0.000, 0.500, 0.500]]}